(1)
# Ba2HoPaSb4 (PBE-GGA, optimized geometry)
data_Ba2HoPaSb4
_chemical_formula_sum 'Ba2 Ho1 Pa1 Sb4'
_symmetry_space_group_name_H-M 'P 1 2/m 1'
_symmetry_Int_Tables_number 10
_cell_length_a 7.8984
_cell_length_b 4.6282
_cell_length_c 8.3469
_cell_angle_alpha 90.00
_cell_angle_beta 108.68
_cell_angle_gamma 90.00
loop_
_symmetry_equiv_pos_as_xyz
'x,y,z'
'-x,-y,-z'
'-x,y,-z'
'x,-y,z'
loop_
_atom_site_label
_atom_site_type_symbol
_atom_site_fract_x
_atom_site_fract_y
_atom_site_fract_z
Ba1 Ba 0.0000 0.0000 0.0000
Ba2 Ba 0.5000 0.5000 0.0000
Ho1 Ho 0.0000 0.5000 0.5000
Pa1 Pa 0.5000 0.0000 0.5000
Sb1 Sb 0.2432 0.0000 0.7080
Sb2 Sb 0.2701 0.5000 0.2938
# M_tot	0.09	μB/cell
# ΔE_f (raw)	-7.28	eV/f.u.

---

(2)
# AcPm2Dy4 (PBE-GGA, optimized geometry)
data_AcPm2Dy4
_chemical_formula_sum 'Ac2 Pm4 Dy8'
_symmetry_space_group_name_H-M 'I 4/m m m'
_symmetry_Int_Tables_number 139
_symmetry_space_group_name_Hall '-I 4 2'
_cell_length_a 8.6459
_cell_length_b 8.6459
_cell_length_c 6.5998
_cell_angle_alpha 90.00
_cell_angle_beta 90.00
_cell_angle_gamma 90.00
loop_
_atom_site_label
_atom_site_type_symbol
_atom_site_fract_x
_atom_site_fract_y
_atom_site_fract_z
Ac1 Ac 0.0000 0.0000 0.0000
Pm1 Pm 0.0000 0.5000 0.2500
Dy1 Dy 0.1961 0.1961 0.5000
# M_tot	0.00	μB/cell
# final energy	-4.3740	eV/atom